[1]
LiRe3W | GGA-PBEsol | relaxed

Cell: 4.723 4.723 4.723 Å, 90.00 90.00 90.00°
Element x y z (fractional)
1 Li 0.000 0.000 0.000
2 Re 0.000 0.500 0.500
3 Re 0.500 0.000 0.500
4 Re 0.500 0.500 0.000
5 W 0.500 0.500 0.500

Calculated values
As for the space-group type: Pm-3m (221). The density of states at the Fermi level comes out at 1.267 states/eV per atom. Its calculated formation energy is 2.282 eV/atom.

[2]
Ba5Au3 | GGA-PBEsol | relaxed

Cell: 9.630 9.630 7.242 Å, 90.00 90.00 120.00°
Element x y z (fractional)
1 Ba 0.000 0.265 0.250
2 Ba 0.000 0.735 0.750
3 Ba 0.265 0.000 0.250
4 Ba 0.265 0.265 0.750
5 Ba 0.333 0.667 0.000
6 Ba 0.333 0.667 0.500
7 Ba 0.667 0.333 0.000
8 Ba 0.667 0.333 0.500
9 Ba 0.735 0.000 0.750
10 Ba 0.735 0.735 0.250
11 Au 0.000 0.388 0.750
12 Au 0.000 0.612 0.250
13 Au 0.388 0.000 0.750
14 Au 0.388 0.388 0.250
15 Au 0.612 0.000 0.250
16 Au 0.612 0.612 0.750

Calculated values
As for the space-group type: P6_3/mcm (193). The value obtained for the energy above the most stable polymorph in this dataset is 0 meV per atom. The density of states at the Fermi level comes out at 0.611 states/eV per atom. Its calculated formation energy is -0.497 eV/atom.